A plane-wave DFT calculation with GGA-PBE was carried out for a relaxed Cs2BiPtN crystal.

## Properties
Total moment   0.00 μB per formula unit
V   37.13 Å³ per atom
Formation energy from raw total energies   -0.09 eV/atom

a b c (Å): 7.0999 7.0999 3.6834
angles (deg): 90.00 90.00 90.00
With the nearest neighbours (Å) after each atom.
Fractional positions:
Cs 0.0000 0.5000 0.0000  2 N 3.55, 2 Cs 3.68
Cs 0.5000 0.0000 0.0000  2 N 3.55, 2 Cs 3.68
Bi 0.0000 0.0000 0.5000  2 Bi 3.68, 8 Cs 4.00
Pt 0.5000 0.5000 0.5000  2 N 1.84
N 0.5000 0.5000 0.0000  2 Pt 1.84

---

A plane-wave DFT calculation with GGA-PBE was carried out for a relaxed CsBiSN2 crystal.

## Properties
Total moment   3.64 μB per formula unit
Energy above the most stable polymorph in this dataset   0 kJ/mol of formula units
V   25.72 Å³ per atom
Formation energy from raw total energies   0.98 eV/atom

a b c (Å): 4.8592 4.8592 5.4455
angles (deg): 90.00 90.00 90.00
With the nearest neighbours (Å) after each atom.
Fractional positions:
Cs 0.0000 0.0000 0.0000  4 S 3.44, 8 N 3.65
Bi 0.5000 0.5000 0.5000  4 N 2.43
S 0.5000 0.5000 0.0000  2 Bi 2.72
N 0.0000 0.5000 0.5000  2 Bi 2.43
N 0.5000 0.0000 0.5000  2 Bi 2.43